Entry 1:
4
Lattice="-2.314 2.314 4.702 2.314 -2.314 4.702 2.314 2.314 -4.702" Properties=species:S:1:pos:R:3 comment="PBE TlCoPb2, relaxed" spacegroup="I-4m2, No. 119" energy_ry_per_atom=-0.2683 de_polymorph_mev_per_atom=328 pbc="T T T"
Tl 0.000 0.000 0.000
Co 2.314 0.000 2.351
Pb 0.000 0.000 4.702
Pb 0.000 2.314 2.351

***

Entry 2:
4
Lattice="3.603 0.000 0.000 0.000 5.059 0.000 0.000 0.000 5.482" Properties=species:S:1:pos:R:3 comment="PBE Tl2CoPb, relaxed" spacegroup="Pmmm, No. 47" energy_ry_per_atom=-0.2422 de_polymorph_mev_per_atom=294 pbc="T T T"
Tl 0.000 0.000 0.000
Tl 1.801 2.529 0.000
Co 0.000 2.529 2.741
Pb 1.801 0.000 2.741

***

Entry 3:
5
Lattice="-2.409 2.409 4.966 2.409 -2.409 4.966 2.409 2.409 -4.966" Properties=species:S:1:pos:R:3 comment="PBE TlCo2Pb2, relaxed" spacegroup="I4/mmm, No. 139" energy_ry_per_atom=-0.3112 pbc="T T T"
Tl 0.000 0.000 0.000
Co 0.000 0.000 3.875
Co 0.000 0.000 6.058
Pb 2.409 0.000 2.483
Pb 0.000 2.409 2.483

***

Question: Which formula does entry 2 have?
Answer: Tl2CoPb